No. 1
PBE-GGA TbBe9Rh2, optimized geometry; E = -4.75 eV per atom; crystal system = hexagonal; calculated volume = 248.2 Å³ per cell; energy relative to the elements = -0.34 eV/atom
1.0
4.4775 0.0000 0.0000
-2.2388 3.8776 0.0000
0.0000 0.0000 14.2977
Tb Be Rh
2 18 4
Direct
0.3333 0.6667 0.2500
0.6667 0.3333 0.7500
0.0000 0.0000 0.0000
0.0000 0.0000 0.2500
0.0000 0.0000 0.5000
0.0000 0.0000 0.7500
0.1698 0.3396 0.6163
0.1698 0.3396 0.8837
0.1698 0.8302 0.6163
0.1698 0.8302 0.8837
0.3333 0.6667 0.7500
0.3396 0.1698 0.1163
0.3396 0.1698 0.3837
0.6604 0.8302 0.6163
0.6604 0.8302 0.8837
0.6667 0.3333 0.2500
0.8302 0.1698 0.1163
0.8302 0.1698 0.3837
0.8302 0.6604 0.1163
0.8302 0.6604 0.3837
0.3333 0.6667 0.0400
0.3333 0.6667 0.4600
0.6667 0.3333 0.5400
0.6667 0.3333 0.9600

No. 2
PBE-GGA SmDy2Tl4, optimized geometry; E = -3.57 eV per atom; crystal system = tetragonal; calculated volume = 427.3 Å³ per cell; energy relative to the lowest polymorph listed for this composition = 0 meV/atom; energy relative to the elements = -0.23 eV/atom
1.0
7.6124 0.0000 0.0000
0.0000 7.6124 0.0000
0.0000 0.0000 7.3736
Sm Dy Tl
2 4 8
Direct
0.0000 0.0000 0.0000
0.5000 0.5000 0.5000
0.0000 0.5000 0.0000
0.0000 0.5000 0.5000
0.5000 0.0000 0.0000
0.5000 0.0000 0.5000
0.2500 0.2500 0.2500
0.2500 0.2500 0.7500
0.2500 0.7500 0.2500
0.2500 0.7500 0.7500
0.7500 0.2500 0.2500
0.7500 0.2500 0.7500
0.7500 0.7500 0.2500
0.7500 0.7500 0.7500

No. 3
PBE-GGA Cs2TbUO6, optimized geometry; E = -7.34 eV per atom; crystal system = cubic; calculated volume = 176.0 Å³ per cell
1.0
0.0000 4.4482 4.4482
4.4482 0.0000 4.4482
4.4482 4.4482 0.0000
Cs Tb U O
2 1 1 6
Direct
0.2500 0.2500 0.2500
0.7500 0.7500 0.7500
0.0000 0.0000 0.0000
0.5000 0.5000 0.5000
0.2636 0.2636 0.7364
0.2636 0.7364 0.2636
0.2636 0.7364 0.7364
0.7364 0.2636 0.2636
0.7364 0.2636 0.7364
0.7364 0.7364 0.2636

No. 4
PBE-GGA Pa2Bi2S7, optimized geometry; E = -6.09 eV per atom; crystal system = orthorhombic; calculated volume = 256.4 Å³ per cell
1.0
-1.9252 7.7571 4.2929
1.9252 -7.7571 4.2929
1.9252 7.7571 -4.2929
Pa Bi S
2 2 7
Direct
0.2476 0.0000 0.2476
0.7524 0.0000 0.7524
0.2554 0.7554 0.5000
0.7132 0.7132 0.0000
0.0155 0.6930 0.3225
0.0484 0.0484 0.0000
0.3681 0.4884 0.8797
0.3705 0.6930 0.6775
0.6088 0.4884 0.1203
0.6448 0.3164 0.3284
0.9879 0.3164 0.6716